DFT (PBE) results for CuIN2Cl after structural relaxation.

Calculated values
Offset from the most stable computed form: 0.0 meV per atom
Magnetization: 3.94 Bohr magnetons per cell
Formation energy (no corrections): 1.55 eV per atom
DFT total energy: -3.2807 eV/atom

abc: 3.945 3.945 6.721
angles: 90.00 90.00 90.00
Space group P4/mmm (No. 123)
Inequivalent atoms, fractional coordinates:
Cu1 0.000 0.000 0.000 [1 per cell]
I1 0.000 0.000 0.500 [1 per cell]
N1 0.000 0.500 0.000 [2 per cell]
Cl1 0.500 0.500 0.500 [1 per cell]

DFT (PBE) results for Nd5PuTl6 after structural relaxation.

Calculated values
ΔH_f (0 K): -0.3114 eV per atom
Magnetization: 12.41 Bohr magnetons per cell
DFT total energy: -4.6755 eV/atom

abc: 5.502 7.804 16.550
angles: 90.00 90.00 90.00
Space group Immm (No. 71)
Inequivalent atoms, fractional coordinates:
Nd1 0.000 0.000 0.000 [2 per cell]
Nd2 0.000 0.000 0.338 [4 per cell]
Nd3 0.000 0.500 0.331 [4 per cell]
Pu1 0.000 0.500 0.000 [2 per cell]
Tl1 0.000 0.247 0.167 [8 per cell]
Tl2 0.000 0.255 0.500 [4 per cell]

DFT (PBE) results for BeTeRu2 after structural relaxation.

Calculated values
Offset from the most stable computed form: 200.8 meV per atom
Magnetization: 0.00 Bohr magnetons per cell
Formation energy (no corrections): 0.23 eV per atom
DFT total energy: -6.1224 eV/atom

abc: 3.2042 3.2042 20.1268
angles: 90.00 90.00 120.00
Space group R-3m (No. 166, hexagonal axes)
Inequivalent atoms, fractional coordinates:
Be1 0.0000 0.0000 0.0000 [3 per cell]
Te1 0.0000 0.0000 0.5000 [3 per cell]
Ru1 0.0000 0.0000 0.2676 [6 per cell]

DFT (PBE) results for ZrI2O2 after structural relaxation.

Calculated values
Offset from the most stable computed form: 1520.3 meV per atom
Magnetization: 1.68 Bohr magnetons per cell
Formation energy (no corrections): 0.29 eV per atom
DFT total energy: -4.0206 eV/atom

abc: 4.151 4.151 7.017
angles: 90.00 90.00 90.00
Space group P4/mmm (No. 123)
Inequivalent atoms, fractional coordinates:
Zr1 0.000 0.000 0.000 [1 per cell]
I1 0.500 0.500 0.000 [1 per cell]
I2 0.500 0.500 0.500 [1 per cell]
O1 0.000 0.500 0.500 [2 per cell]

Question: Which value of DFT total energy does entry 2 give?
Answer: -4.6755 eV/atom